No. 1
This record from Alexandria describes K2BaY after structural relaxation. The functional is PBE.

```
data_K2BaY
_cell_length_a 3.939
_cell_length_b 7.338
_cell_length_c 7.241
_cell_angle_alpha 90.00
_cell_angle_beta 93.94
_cell_angle_gamma 90.00
_symmetry_space_group_name_H-M 'P 1 2/m 1'
_symmetry_Int_Tables_number 10
loop_
_symmetry_equiv_pos_as_xyz
'x,y,z'
'-x,-y,-z'
'-x,y,-z'
'x,-y,z'
loop_
_atom_site_label
_atom_site_type_symbol
_atom_site_fract_x
_atom_site_fract_y
_atom_site_fract_z
K1 K 0.245 0.000 0.238
Ba1 Ba 0.000 0.500 0.500
Y1 Y 0.500 0.500 0.000
```

energy of formation from the pure elements: 0.384 eV/atom
offset from the most stable computed form: 2.80 kcal/mol of atoms
magnetization: 0.0 μB per formula unit
N(E_F): 5.9 states/eV per cell
crystal system: monoclinic
raw total energy: -2.261 eV/atom


No. 2
This record from Alexandria describes Dy6Y2Mg after structural relaxation. The functional is PBE.

```
data_Dy6Y2Mg
_cell_length_a 3.5518
_cell_length_b 3.5518
_cell_length_c 25.9156
_cell_angle_alpha 90.00
_cell_angle_beta 90.00
_cell_angle_gamma 120.00
_symmetry_space_group_name_H-M 'P -6 m 2'
_symmetry_Int_Tables_number 187
_symmetry_space_group_name_Hall 'P -6 2'
loop_
_atom_site_label
_atom_site_type_symbol
_atom_site_fract_x
_atom_site_fract_y
_atom_site_fract_z
Dy1 Dy 0.0000 0.0000 0.0661
Dy2 Dy 0.0000 0.0000 0.2861
Dy3 Dy 0.3333 0.6667 0.3952
Y1 Y 0.3333 0.6667 0.1743
Mg1 Mg 0.0000 0.0000 0.5000
```

energy of formation from the pure elements: 0.064 eV/atom
offset from the most stable computed form: 0.90 kcal/mol of atoms
magnetization: 0.5 μB per formula unit
N(E_F): 15.2 states/eV per cell
crystal system: hexagonal
raw total energy: -4.618 eV/atom


No. 3
This record from Alexandria describes Be2PdO after structural relaxation. The functional is PBE.

```
data_Be2PdO
_cell_length_a 4.922
_cell_length_b 4.922
_cell_length_c 6.918
_cell_angle_alpha 90.00
_cell_angle_beta 90.00
_cell_angle_gamma 90.00
_symmetry_space_group_name_H-M 'I -4 2 d'
_symmetry_Int_Tables_number 122
_symmetry_space_group_name_Hall 'I -4 2bw'
loop_
_atom_site_label
_atom_site_type_symbol
_atom_site_fract_x
_atom_site_fract_y
_atom_site_fract_z
Be1 Be 0.135 0.750 0.125
Pd1 Pd 0.000 0.000 0.500
O1 O 0.000 0.000 0.000
```

formation energy from raw total energies: -1.1112 eV/atom
magnetization: 0.0 μB per formula unit
N(E_F): 4.6 states/eV per cell
crystal system: tetragonal
raw total energy: -5.512 eV/atom


No. 4
This record from Alexandria describes Ac2CeScS6 after structural relaxation. The functional is PBE.

```
data_Ac2CeScS6
_cell_length_a 6.912
_cell_length_b 7.505
_cell_length_c 12.134
_cell_angle_alpha 90.00
_cell_angle_beta 123.77
_cell_angle_gamma 90.00
_symmetry_space_group_name_H-M 'P 1 21/c 1'
_symmetry_Int_Tables_number 14
loop_
_symmetry_equiv_pos_as_xyz
'x,y,z'
'-x,-y,-z'
'-x,y+1/2,-z+1/2'
'x,-y+1/2,z+1/2'
loop_
_atom_site_label
_atom_site_type_symbol
_atom_site_fract_x
_atom_site_fract_y
_atom_site_fract_z
Ac1 Ac 0.218 0.087 0.248
Ce1 Ce 0.500 0.000 0.000
Sc1 Sc 0.000 0.000 0.500
S1 S 0.112 0.200 0.937
S2 S 0.243 0.683 0.939
S3 S 0.362 0.040 0.738
```

formation energy from raw total energies: -2.0595 eV/atom
magnetization: 1.0 μB per formula unit
N(E_F): 10.4 states/eV per cell
crystal system: monoclinic
raw total energy: -6.584 eV/atom


No. 5
This record from Alexandria describes CeHoNp2As4 after structural relaxation. The functional is PBE.

```
data_CeHoNp2As4
_cell_length_a 7.163
_cell_length_b 4.132
_cell_length_c 7.164
_cell_angle_alpha 90.00
_cell_angle_beta 109.43
_cell_angle_gamma 90.00
_symmetry_space_group_name_H-M 'P 1 2/m 1'
_symmetry_Int_Tables_number 10
loop_
_symmetry_equiv_pos_as_xyz
'x,y,z'
'-x,-y,-z'
'-x,y,-z'
'x,-y,z'
loop_
_atom_site_label
_atom_site_type_symbol
_atom_site_fract_x
_atom_site_fract_y
_atom_site_fract_z
Ce1 Ce 0.000 0.000 0.000
Ho1 Ho 0.500 0.500 0.000
Np1 Np 0.000 0.500 0.500
Np2 Np 0.500 0.000 0.500
As1 As 0.252 0.000 0.747
As2 As 0.255 0.500 0.255
```

energy of formation from the pure elements: -1.073 eV/atom
magnetization: 8.5 μB per formula unit
N(E_F): 23.5 states/eV per cell
crystal system: monoclinic
raw total energy: -7.947 eV/atom


No. 6
This record from Alexandria describes SrCaTe2 after structural relaxation. The functional is PBE.

```
data_SrCaTe2
_cell_length_a 4.5580
_cell_length_b 4.5580
_cell_length_c 23.7375
_cell_angle_alpha 90.00
_cell_angle_beta 90.00
_cell_angle_gamma 120.00
_symmetry_space_group_name_H-M 'R 3 m'
_symmetry_Int_Tables_number 160
_symmetry_space_group_name_Hall 'R 3 -2"'
loop_
_atom_site_label
_atom_site_type_symbol
_atom_site_fract_x
_atom_site_fract_y
_atom_site_fract_z
Sr1 Sr 0.0000 0.0000 0.0000
Ca1 Ca 0.0000 0.0000 0.1691
Te1 Te 0.0000 0.0000 0.5792
Te2 Te 0.0000 0.0000 0.7566
```

offset from the most stable computed form: 1.51 kcal/mol of atoms
formation energy from raw total energies: -1.6282 eV/atom
magnetization: 0.0 μB per formula unit
N(E_F): 0.0 states/eV per cell
crystal system: trigonal
raw total energy: -4.120 eV/atom


No. 7
This record from Alexandria describes CsAl3Ge3 after structural relaxation. The functional is PBE.

```
data_CsAl3Ge3
_cell_length_a 7.229
_cell_length_b 7.229
_cell_length_c 7.229
_cell_angle_alpha 90.00
_cell_angle_beta 90.00
_cell_angle_gamma 90.00
_symmetry_space_group_name_H-M 'P m -3 n'
_symmetry_Int_Tables_number 223
_symmetry_space_group_name_Hall '-P 4n 2 3'
loop_
_atom_site_label
_atom_site_type_symbol
_atom_site_fract_x
_atom_site_fract_y
_atom_site_fract_z
Cs1 Cs 0.000 0.000 0.000
Al1 Al 0.000 0.250 0.500
Ge1 Ge 0.000 0.500 0.250
```

energy of formation from the pure elements: -0.026 eV/atom
offset from the most stable computed form: 0.00 kcal/mol of atoms
magnetization: 0.0 μB per formula unit
N(E_F): 11.3 states/eV per cell
crystal system: cubic
raw total energy: -3.731 eV/atom


No. 8
This record from Alexandria describes LiTh2Au4 after structural relaxation. The functional is PBE.

```
data_LiTh2Au4
_cell_length_a 5.856
_cell_length_b 6.168
_cell_length_c 8.820
_cell_angle_alpha 90.00
_cell_angle_beta 101.12
_cell_angle_gamma 90.00
_symmetry_space_group_name_H-M 'P 1 21/m 1'
_symmetry_Int_Tables_number 11
loop_
_symmetry_equiv_pos_as_xyz
'x,y,z'
'-x,-y,-z'
'-x,y+1/2,-z'
'x,-y+1/2,z'
loop_
_atom_site_label
_atom_site_type_symbol
_atom_site_fract_x
_atom_site_fract_y
_atom_site_fract_z
Li1 Li 0.108 0.250 0.289
Th1 Th 0.144 0.250 0.915
Th2 Th 0.301 0.750 0.531
Au1 Au 0.222 0.250 0.586
Au2 Au 0.277 0.750 0.905
Au3 Au 0.384 0.523 0.207
```

energy of formation from the pure elements: -0.578 eV/atom
offset from the most stable computed form: 0.00 kcal/mol of atoms
magnetization: 0.0 μB per formula unit
N(E_F): 11.6 states/eV per cell
crystal system: monoclinic
raw total energy: -4.844 eV/atom


No. 9
This record from Alexandria describes Ca3DyU2As6 after structural relaxation. The functional is PBE.

```
data_Ca3DyU2As6
_cell_length_a 7.225
_cell_length_b 12.510
_cell_length_c 7.247
_cell_angle_alpha 90.00
_cell_angle_beta 109.39
_cell_angle_gamma 90.00
_symmetry_space_group_name_H-M 'C 1 2/m 1'
_symmetry_Int_Tables_number 12
loop_
_symmetry_equiv_pos_as_xyz
'x,y,z'
'-x,-y,-z'
'-x,y,-z'
'x,-y,z'
'x+1/2,y+1/2,z'
'-x+1/2,-y+1/2,-z'
'-x+1/2,y+1/2,-z'
'x+1/2,-y+1/2,z'
loop_
_atom_site_label
_atom_site_type_symbol
_atom_site_fract_x
_atom_site_fract_y
_atom_site_fract_z
Ca1 Ca 0.000 0.000 0.000
Ca2 Ca 0.000 0.335 0.000
Dy1 Dy 0.000 0.500 0.500
U1 U 0.000 0.167 0.500
As1 As 0.236 0.000 0.731
As2 As 0.247 0.330 0.730
```

energy of formation from the pure elements: -1.101 eV/atom
magnetization: 3.0 μB per formula unit
N(E_F): 24.5 states/eV per cell
crystal system: monoclinic
raw total energy: -6.191 eV/atom


No. 10
This record from Alexandria describes Li5Pb4 after structural relaxation. The functional is PBE.

```
data_Li5Pb4
_cell_length_a 9.447
_cell_length_b 9.447
_cell_length_c 4.587
_cell_angle_alpha 90.00
_cell_angle_beta 90.00
_cell_angle_gamma 90.00
_symmetry_space_group_name_H-M 'I 4/m m m'
_symmetry_Int_Tables_number 139
_symmetry_space_group_name_Hall '-I 4 2'
loop_
_atom_site_label
_atom_site_type_symbol
_atom_site_fract_x
_atom_site_fract_y
_atom_site_fract_z
Li1 Li 0.000 0.000 0.000
Li2 Li 0.174 0.174 0.500
Pb1 Pb 0.000 0.310 0.000
```

energy of formation from the pure elements: -0.185 eV/atom
offset from the most stable computed form: 1.20 kcal/mol of atoms
magnetization: 0.0 μB per formula unit
N(E_F): 7.0 states/eV per cell
crystal system: tetragonal
raw total energy: -2.896 eV/atom


No. 11
This record from Alexandria describes Hf3NbP after structural relaxation. The functional is PBE.

```
data_Hf3NbP
_cell_length_a 5.026
_cell_length_b 5.026
_cell_length_c 5.026
_cell_angle_alpha 90.00
_cell_angle_beta 90.00
_cell_angle_gamma 90.00
_symmetry_space_group_name_H-M 'P m -3 m'
_symmetry_Int_Tables_number 221
_symmetry_space_group_name_Hall '-P 4 2 3'
loop_
_atom_site_label
_atom_site_type_symbol
_atom_site_fract_x
_atom_site_fract_y
_atom_site_fract_z
Hf1 Hf 0.000 0.000 0.500
Nb1 Nb 0.000 0.000 0.000
P1 P 0.500 0.500 0.500
```

energy of formation from the pure elements: 1.162 eV/atom
offset from the most stable computed form: 28.04 kcal/mol of atoms
magnetization: 0.0 μB per formula unit
N(E_F): 5.2 states/eV per cell
crystal system: cubic
raw total energy: -7.906 eV/atom


No. 12
This record from Alexandria describes DyTiRu2 after structural relaxation. The functional is PBE.

```
data_DyTiRu2
_cell_length_a 4.588
_cell_length_b 4.588
_cell_length_c 3.240
_cell_angle_alpha 90.00
_cell_angle_beta 90.00
_cell_angle_gamma 90.00
_symmetry_space_group_name_H-M 'P 4/m m m'
_symmetry_Int_Tables_number 123
_symmetry_space_group_name_Hall '-P 4 2'
loop_
_atom_site_label
_atom_site_type_symbol
_atom_site_fract_x
_atom_site_fract_y
_atom_site_fract_z
Dy1 Dy 0.000 0.000 0.000
Ti1 Ti 0.500 0.500 0.000
Ru1 Ru 0.000 0.500 0.500
```

energy of formation from the pure elements: -0.401 eV/atom
magnetization: 0.0 μB per formula unit
N(E_F): 2.5 states/eV per cell
crystal system: tetragonal
raw total energy: -8.163 eV/atom